1.
The following is a PBE calculation of a relaxed Zr2SiPb crystal, from the Alexandria database.

Computed properties:
Its symmetry is P4/mmm (123). The total moment is 0.00 μB/f.u. The calculation puts the uncorrected formation energy at -0.3079 eV/atom. Its crystal system is tetragonal.

Lattice parameters (Å, degrees): 3.2106 3.2106 8.1823 90.00 90.00 90.00
Positions (direct):
Pb (0.5000, 0.5000, 0.2500)
Si (0.5000, 0.5000, 0.7500)
Zr (0.0000, 0.0000, 0.9607)
Zr (0.0000, 0.0000, 0.5393)

2.
The following is a PBE calculation of a relaxed ZrCoRh crystal, from the Alexandria database.

Computed properties:
Its symmetry is F-43m (216). The total moment is 0.14 μB/f.u. For the calculated formation energy, the calculation gives 0.18 eV/atom. Its crystal system is cubic.

Lattice parameters (Å, degrees): 4.2474 4.2474 4.2474 60.00 60.00 60.00
Positions (direct):
Co (0.0000, 0.0000, 0.0000)
Rh (0.5000, 0.5000, 0.5000)
Zr (0.7500, 0.7500, 0.7500)

3.
The following is a PBE calculation of a relaxed Dy2CuRuC crystal, from the Alexandria database.

Computed properties:
Its symmetry is P4/mmm (123). The total moment is 0.00 μB/f.u. For the calculated formation energy, the calculation gives -0.31 eV/atom. Its crystal system is tetragonal.

Lattice parameters (Å, degrees): 3.8594 4.9359 4.9359 90.00 90.00 90.00
Positions (direct):
Dy (0.0000, 0.0000, 0.5000)
Dy (0.0000, 0.5000, 0.0000)
Cu (0.5000, 0.5000, 0.5000)
Ru (0.5000, 0.0000, 0.0000)
C (0.0000, 0.0000, 0.0000)

4.
The following is a PBE calculation of a relaxed BaInSbO crystal, from the Alexandria database.

Computed properties:
Its symmetry is R-3m (166). The total moment is 0.00 μB/f.u. The calculation puts the uncorrected formation energy at -1.2160 eV/atom. Its crystal system is trigonal.

Lattice parameters (Å, degrees): 4.5716 4.5716 13.5613 80.30 80.30 60.00
Positions (direct):
Ba (0.0000, 0.0000, 0.0000)
Ba (0.5000, 0.5000, 0.5000)
In (0.7550, 0.7550, 0.7350)
In (0.2450, 0.2450, 0.2650)
Sb (0.6087, 0.6087, 0.1740)
Sb (0.3913, 0.3913, 0.8260)
O (0.1947, 0.1947, 0.4159)
O (0.8053, 0.8053, 0.5841)

5.
The following is a PBE calculation of a relaxed PaTlGaCl6 crystal, from the Alexandria database.

Computed properties:
Its symmetry is P-31c (163). The total moment is 1.01 μB/f.u. The calculation puts the uncorrected formation energy at -1.4747 eV/atom. Its crystal system is trigonal.

Lattice parameters (Å, degrees): 7.5405 7.5405 13.1816 90.00 90.00 120.00
Positions (direct):
Pa (0.6667, 0.3333, 0.2500)
Pa (0.3333, 0.6667, 0.7500)
Tl (0.0000, 0.0000, 0.0000)
Tl (0.0000, 0.0000, 0.5000)
Ga (0.3333, 0.6667, 0.2500)
Ga (0.6667, 0.3333, 0.7500)
Cl (0.6536, 0.6179, 0.1360)
Cl (0.9643, 0.3464, 0.1360)
Cl (0.3464, 0.9643, 0.6360)
Cl (0.0357, 0.6536, 0.8640)
Cl (0.3821, 0.3464, 0.3640)
Cl (0.9643, 0.6179, 0.3640)
Cl (0.6179, 0.9643, 0.8640)
Cl (0.6536, 0.0357, 0.3640)
Cl (0.0357, 0.3821, 0.6360)
Cl (0.3821, 0.0357, 0.1360)
Cl (0.6179, 0.6536, 0.6360)
Cl (0.3464, 0.3821, 0.8640)

6.
The following is a PBE calculation of a relaxed Er3PtRh crystal, from the Alexandria database.

Computed properties:
Its symmetry is P2_1/c (14). The total moment is 0.00 μB/f.u. For the calculated formation energy, the calculation gives -0.94 eV/atom. Its crystal system is monoclinic.

Lattice parameters (Å, degrees): 8.0022 7.2448 8.5050 90.00 74.68 90.00
Positions (direct):
Er (0.3922, 0.1473, 0.7845)
Er (0.6078, 0.8527, 0.2155)
Er (0.1078, 0.6473, 0.2155)
Er (0.8922, 0.3527, 0.7845)
Er (0.5075, 0.6874, 0.8586)
Er (0.4925, 0.3126, 0.1414)
Er (0.9925, 0.1874, 0.1414)
Er (0.0075, 0.8126, 0.8586)
Er (0.7830, 0.9999, 0.5533)
Er (0.2170, 0.0001, 0.4467)
Er (0.7170, 0.4999, 0.4467)
Er (0.2830, 0.5001, 0.5533)
Pt (0.6949, 0.0422, 0.9116)
Pt (0.3051, 0.9578, 0.0884)
Pt (0.8051, 0.5422, 0.0884)
Pt (0.1949, 0.4578, 0.9116)
Rh (0.4782, 0.8116, 0.5612)
Rh (0.5218, 0.1884, 0.4388)
Rh (0.0218, 0.3116, 0.4388)
Rh (0.9782, 0.6884, 0.5612)

7.
The following is a PBE calculation of a relaxed NdTm2Sc2 crystal, from the Alexandria database.

Computed properties:
Its symmetry is Imma (74). The total moment is 0.00 μB/f.u. For the calculated formation energy, the calculation gives 0.13 eV/atom. Its crystal system is orthorhombic.

Lattice parameters (Å, degrees): 5.4506 6.7322 9.1078 111.69 107.41 90.00
Positions (direct):
Nd (0.3757, 0.1257, 0.2513)
Nd (0.6243, 0.8743, 0.7487)
Tm (0.6241, 0.3741, 0.7481)
Tm (0.0008, 0.7508, 0.5016)
Tm (0.9992, 0.2492, 0.4984)
Tm (0.3759, 0.6259, 0.2519)
Sc (0.8080, 0.3135, 0.1161)
Sc (0.8080, 0.8026, 0.1161)
Sc (0.1920, 0.1974, 0.8839)
Sc (0.1920, 0.6865, 0.8839)

8.
The following is a PBE calculation of a relaxed LiMgPaO4 crystal, from the Alexandria database.

Computed properties:
Its symmetry is Imma (74). The total moment is 0.00 μB/f.u. The calculation puts the uncorrected formation energy at -2.9463 eV/atom. Its crystal system is orthorhombic.

Lattice parameters (Å, degrees): 6.1443 6.4172 6.4172 67.58 61.40 61.40
Positions (direct):
Li (0.6203, 0.6297, 0.1297)
Li (0.3797, 0.3703, 0.8703)
Mg (0.5000, 0.0000, 0.5000)
Mg (0.0000, 0.0000, 0.5000)
Pa (0.0000, 0.0000, 0.0000)
Pa (0.0000, 0.5000, 0.5000)
O (0.7629, 0.7798, 0.6944)
O (0.2371, 0.8056, 0.7202)
O (0.7629, 0.1944, 0.2798)
O (0.2371, 0.2202, 0.3056)
O (0.2233, 0.7511, 0.2511)
O (0.7746, 0.7511, 0.2511)
O (0.2254, 0.2489, 0.7489)
O (0.7767, 0.2489, 0.7489)